Computed, not measured: Rb2TlNi2F7 after structural relaxation at the GGA+U level of DFT.

## Properties
total magnetization = 4.005 μB/cell
DFT total energy = -4.20 eV per atom

Cell: 4.1487 4.1487 11.4610 Å, 79.57 79.57 89.99°
Last column: magnetic moment on the atom in μB.
Fractional coordinates of all 12 atoms:
Rb  0.8144  0.8144  0.3712  0.00
Rb  0.1856  0.1856  0.6288  0.00
Ni  0.5939  0.5939  0.8121  1.85
Ni  0.4061  0.4061  0.1879  1.85
F  0.3148  0.3148  0.3703  0.03
F  0.5000  0.5000  0.0000  0.04
F  0.9054  0.4054  0.1893  0.04
F  0.4054  0.9054  0.1893  0.04
F  0.5946  0.0946  0.8107  0.04
F  0.0946  0.5946  0.8107  0.04
F  0.6852  0.6852  0.6297  0.03
Tl  0.0000  0.0000  0.0000  0.00